A plane-wave DFT calculation with GGA+U was carried out for an optimized crystal structure of CrAsNO2.

```
5
Lattice="3.698 0.000 0.000 0.000 3.698 0.000 0.000 0.000 3.877" Properties=species:S:1:pos:R:3 pbc="T T T"
Cr 0.000 0.000 0.000
As 1.849 1.849 1.938
N 1.849 1.849 0.000
O 0.000 1.849 1.938
O 1.849 0.000 1.938
```

**Space group**: P4/mmm
**Final energy**: -6.222 eV/atom

A plane-wave DFT calculation with GGA+U was carried out for an optimized crystal structure of CrAsN2O.

```
5
Lattice="3.811 0.000 0.000 0.000 3.811 0.000 0.000 0.000 3.679" Properties=species:S:1:pos:R:3 pbc="T T T"
Cr 0.000 0.000 0.000
As 1.905 1.905 1.840
N 0.000 1.905 1.840
N 1.905 0.000 1.840
O 1.905 1.905 0.000
```

**Space group**: P4/mmm
**Final energy**: -6.160 eV/atom

A plane-wave DFT calculation with GGA+U was carried out for an optimized crystal structure of CrAsN2O.

```
5
Lattice="3.881 0.000 0.000 0.000 3.881 0.000 0.000 0.000 3.539" Properties=species:S:1:pos:R:3 pbc="T T T"
Cr 0.000 0.000 0.000
As 1.940 1.940 1.770
N 0.000 1.940 0.000
N 1.940 0.000 0.000
O 0.000 0.000 1.770
```

**Space group**: P4/mmm
**Final energy**: -5.925 eV/atom